# 1
DFT (PBE-GGA) results for a relaxed structure of GaHF4.

a = 6.646 Å, b = 6.646 Å, c = 5.132 Å
α = 98.42°, β = 98.42°, γ = 135.60°
Fractional coordinates of all 12 atoms:
Ga: 0.065 0.935 0.750
Ga: 0.935 0.065 0.250
H: 0.333 0.667 0.250
H: 0.667 0.333 0.750
F: 0.090 0.436 0.227
F: 0.162 0.263 0.651
F: 0.263 0.162 0.151
F: 0.436 0.090 0.727
F: 0.564 0.910 0.273
F: 0.737 0.838 0.849
F: 0.838 0.737 0.349
F: 0.910 0.564 0.773

Values from the calculation:
Relative energy among the computed polymorphs in eV per formula unit: 0.00
E_tot in eV per atom: -4.548

---

# 2
DFT (PBE-GGA) results for a relaxed structure of Pr2SmHoEr4.

a = 5.071 Å, b = 5.096 Å, c = 10.002 Å
α = 90.00°, β = 90.00°, γ = 90.00°
Fractional coordinates of all 8 atoms:
Pr: 0.000 0.000 0.000
Pr: 0.500 0.500 0.500
Sm: 0.000 0.000 0.500
Ho: 0.500 0.500 0.000
Er: 0.000 0.500 0.248
Er: 0.000 0.500 0.752
Er: 0.500 0.000 0.249
Er: 0.500 0.000 0.751

Values from the calculation:
E_tot in eV per atom: -4.615

---

# 3
DFT (PBE-GGA) results for a relaxed structure of In2Pd4Au.

a = 4.970 Å, b = 4.970 Å, c = 13.486 Å
α = 90.00°, β = 90.00°, γ = 90.00°
Fractional coordinates of all 14 atoms:
In: 0.000 0.000 0.113
In: 0.000 0.000 0.887
In: 0.500 0.500 0.387
In: 0.500 0.500 0.613
Pd: 0.000 0.000 0.303
Pd: 0.000 0.000 0.697
Pd: 0.000 0.500 0.000
Pd: 0.000 0.500 0.500
Pd: 0.500 0.000 0.000
Pd: 0.500 0.000 0.500
Pd: 0.500 0.500 0.197
Pd: 0.500 0.500 0.803
Au: 0.000 0.000 0.500
Au: 0.500 0.500 0.000

Values from the calculation:
Relative energy among the computed polymorphs in eV per formula unit: 4.60
E_tot in eV per atom: -3.876

---

# 4
DFT (PBE-GGA) results for a relaxed structure of Dy5Sb2As2.

a = 8.488 Å, b = 8.488 Å, c = 7.938 Å
α = 90.00°, β = 90.00°, γ = 55.17°
Fractional coordinates of all 18 atoms:
Dy: 0.000 0.000 0.000
Dy: 0.030 0.713 0.659
Dy: 0.213 0.530 0.159
Dy: 0.287 0.970 0.659
Dy: 0.470 0.787 0.159
Dy: 0.500 0.500 0.500
Dy: 0.530 0.213 0.841
Dy: 0.713 0.030 0.341
Dy: 0.787 0.470 0.841
Dy: 0.970 0.287 0.341
Sb: 0.202 0.202 0.000
Sb: 0.298 0.298 0.500
Sb: 0.702 0.702 0.500
Sb: 0.798 0.798 0.000
As: 0.146 0.854 0.356
As: 0.354 0.646 0.856
As: 0.646 0.354 0.144
As: 0.854 0.146 0.644

Values from the calculation:
E_form (uncorrected) in meV per atom: -1139
E_tot in eV per atom: -5.645

---

# 5
DFT (PBE-GGA) results for a relaxed structure of V2SN.

a = 5.546 Å, b = 5.546 Å, c = 5.546 Å
α = 90.00°, β = 90.00°, γ = 90.00°
Fractional coordinates of all 16 atoms:
V: 0.250 0.250 0.250
V: 0.250 0.250 0.750
V: 0.250 0.750 0.250
V: 0.250 0.750 0.750
V: 0.750 0.250 0.250
V: 0.750 0.250 0.750
V: 0.750 0.750 0.250
V: 0.750 0.750 0.750
S: 0.000 0.000 0.000
S: 0.000 0.500 0.500
S: 0.500 0.000 0.500
S: 0.500 0.500 0.000
N: 0.000 0.000 0.500
N: 0.000 0.500 0.000
N: 0.500 0.000 0.000
N: 0.500 0.500 0.500

Values from the calculation:
Relative energy among the computed polymorphs in eV per formula unit: 1.93
E_form (uncorrected) in meV per atom: -196
E_tot in eV per atom: -7.869

---

# 6
DFT (PBE-GGA) results for a relaxed structure of Ac8Rh3CI3.

a = 8.650 Å, b = 8.650 Å, c = 10.019 Å
α = 115.63°, β = 115.63°, γ = 60.04°
Fractional coordinates of all 15 atoms:
Ac: 0.216 0.216 0.675
Ac: 0.217 0.741 0.674
Ac: 0.259 0.783 0.326
Ac: 0.271 0.271 0.313
Ac: 0.729 0.729 0.687
Ac: 0.741 0.217 0.674
Ac: 0.783 0.259 0.326
Ac: 0.784 0.784 0.325
Rh: 0.000 0.500 0.500
Rh: 0.500 0.000 0.500
Rh: 0.500 0.500 0.500
C: 0.000 0.000 0.500
I: 0.000 0.000 0.000
I: 0.000 0.500 0.000
I: 0.500 0.000 0.000

Values from the calculation:
E_form (uncorrected) in meV per atom: -729
E_tot in eV per atom: -5.316

---

# 7
DFT (PBE-GGA) results for a relaxed structure of Li3AlO3.

a = 8.986 Å, b = 8.991 Å, c = 3.498 Å
α = 90.00°, β = 90.00°, γ = 90.00°
Fractional coordinates of all 28 atoms:
Li: 0.099 0.139 0.000
Li: 0.138 0.901 0.500
Li: 0.176 0.324 0.500
Li: 0.324 0.824 0.000
Li: 0.362 0.401 0.000
Li: 0.401 0.639 0.500
Li: 0.599 0.361 0.500
Li: 0.638 0.599 0.000
Li: 0.676 0.176 0.000
Li: 0.824 0.676 0.500
Li: 0.862 0.099 0.500
Li: 0.901 0.861 0.000
Al: 0.113 0.613 0.000
Al: 0.387 0.113 0.500
Al: 0.613 0.887 0.500
Al: 0.887 0.387 0.000
O: 0.096 0.404 0.000
O: 0.107 0.812 0.000
O: 0.187 0.107 0.500
O: 0.313 0.607 0.000
O: 0.393 0.312 0.500
O: 0.404 0.904 0.500
O: 0.596 0.096 0.500
O: 0.607 0.688 0.500
O: 0.687 0.393 0.000
O: 0.813 0.893 0.500
O: 0.893 0.188 0.000
O: 0.904 0.596 0.000

Values from the calculation:
Relative energy among the computed polymorphs in eV per formula unit: 0.60
E_form (uncorrected) in meV per atom: -2139
E_tot in eV per atom: -5.619

---

# 8
DFT (PBE-GGA) results for a relaxed structure of VSeI2.

a = 7.386 Å, b = 7.386 Å, c = 7.386 Å
α = 90.00°, β = 90.00°, γ = 90.00°
Fractional coordinates of all 16 atoms:
V: 0.000 0.000 0.000
V: 0.000 0.500 0.500
V: 0.500 0.000 0.500
V: 0.500 0.500 0.000
Se: 0.000 0.000 0.500
Se: 0.000 0.500 0.000
Se: 0.500 0.000 0.000
Se: 0.500 0.500 0.500
I: 0.250 0.250 0.250
I: 0.250 0.250 0.750
I: 0.250 0.750 0.250
I: 0.250 0.750 0.750
I: 0.750 0.250 0.250
I: 0.750 0.250 0.750
I: 0.750 0.750 0.250
I: 0.750 0.750 0.750

Values from the calculation:
Relative energy among the computed polymorphs in eV per formula unit: 3.17
E_form (uncorrected) in meV per atom: 584
E_tot in eV per atom: -3.342

---

# 9
DFT (PBE-GGA) results for a relaxed structure of ScSbRh2.

a = 4.280 Å, b = 4.280 Å, c = 3.714 Å
α = 90.00°, β = 90.00°, γ = 90.00°
Fractional coordinates of all 4 atoms:
Sc: 0.000 0.000 0.000
Sb: 0.500 0.500 0.000
Rh: 0.000 0.500 0.500
Rh: 0.500 0.000 0.500

Values from the calculation:
E_form (uncorrected) in meV per atom: -770
E_tot in eV per atom: -7.060

---

# 10
DFT (PBE-GGA) results for a relaxed structure of AlZn3Pd.

a = 8.068 Å, b = 8.068 Å, c = 5.377 Å
α = 97.39°, β = 97.39°, γ = 73.40°
Fractional coordinates of all 20 atoms:
Al: 0.041 0.633 0.919
Al: 0.367 0.959 0.581
Al: 0.633 0.041 0.419
Al: 0.959 0.367 0.081
Zn: 0.048 0.146 0.438
Zn: 0.132 0.527 0.415
Zn: 0.146 0.048 0.938
Zn: 0.361 0.453 0.076
Zn: 0.453 0.361 0.576
Zn: 0.473 0.868 0.085
Zn: 0.527 0.132 0.915
Zn: 0.547 0.639 0.424
Zn: 0.639 0.547 0.924
Zn: 0.854 0.952 0.062
Zn: 0.868 0.473 0.585
Zn: 0.952 0.854 0.562
Pd: 0.189 0.811 0.250
Pd: 0.308 0.692 0.750
Pd: 0.692 0.308 0.250
Pd: 0.811 0.189 0.750

Values from the calculation:
Relative energy among the computed polymorphs in eV per formula unit: 0.00
E_tot in eV per atom: -2.739

---

# 11
DFT (PBE-GGA) results for a relaxed structure of Er2PaF.

a = 3.192 Å, b = 3.192 Å, c = 30.464 Å
α = 90.00°, β = 90.00°, γ = 120.00°
Fractional coordinates of all 12 atoms:
Er: 0.000 0.000 0.105
Er: 0.000 0.000 0.895
Er: 0.333 0.667 0.562
Er: 0.333 0.667 0.772
Er: 0.667 0.333 0.228
Er: 0.667 0.333 0.438
Pa: 0.000 0.000 0.000
Pa: 0.333 0.667 0.667
Pa: 0.667 0.333 0.333
F: 0.000 0.000 0.500
F: 0.333 0.667 0.167
F: 0.667 0.333 0.833

Values from the calculation:
E_form (uncorrected) in meV per atom: -788
E_tot in eV per atom: -5.911

---

# 12
DFT (PBE-GGA) results for a relaxed structure of Pm2PrTh3S6.

a = 6.964 Å, b = 6.964 Å, c = 7.058 Å
α = 99.42°, β = 99.42°, γ = 119.58°
Fractional coordinates of all 12 atoms:
Pm: 0.167 0.833 0.000
Pm: 0.833 0.167 0.000
Pr: 0.500 0.500 0.000
Th: 0.000 0.000 0.500
Th: 0.335 0.665 0.500
Th: 0.665 0.335 0.500
S: 0.080 0.417 0.750
S: 0.245 0.245 0.247
S: 0.417 0.080 0.750
S: 0.583 0.920 0.250
S: 0.755 0.755 0.753
S: 0.920 0.583 0.250

Values from the calculation:
E_form (uncorrected) in meV per atom: -1920
E_tot in eV per atom: -7.029

---

Q: Which formula does entry 12 have?
A: Pm2PrTh3S6

---

Q: E_tot of number 6 (Ac8Rh3CI3)?
A: -5.316 eV per atom